*1*
Below is ZnCoBPd after structural relaxation, with properties calculated at the PBE level.

a = 3.988 Å, b = 3.988 Å, c = 3.988 Å
α = 60.00°, β = 60.00°, γ = 60.00°
Element x y z (fractional)
Zn (0.500, 0.500, 0.500)
B (0.000, 0.000, 0.000)
Co (0.750, 0.750, 0.750)
Pd (0.250, 0.250, 0.250)

---

*2*
Below is ZnCoBPd after structural relaxation, with properties calculated at the PBE level.

a = 4.050 Å, b = 4.050 Å, c = 4.050 Å
α = 60.00°, β = 60.00°, γ = 60.00°
Element x y z (fractional)
Pd (0.500, 0.500, 0.500)
Zn (0.250, 0.250, 0.250)
Co (0.750, 0.750, 0.750)
B (0.000, 0.000, 0.000)

---

Short version: *2* is the least stable of them.

---

*1*
Below is ZrCoBPd after structural relaxation, with properties calculated at the PBE level.

a = 4.292 Å, b = 4.292 Å, c = 4.292 Å
α = 60.00°, β = 60.00°, γ = 60.00°
Element x y z (fractional)
B (0.000, 0.000, 0.000)
Zr (0.250, 0.250, 0.250)
Co (0.750, 0.750, 0.750)
Pd (0.500, 0.500, 0.500)

---

*2*
Below is ZrCoBPd after structural relaxation, with properties calculated at the PBE level.

a = 4.248 Å, b = 4.248 Å, c = 4.248 Å
α = 60.00°, β = 60.00°, γ = 60.00°
Element x y z (fractional)
Pd (0.250, 0.250, 0.250)
Co (0.750, 0.750, 0.750)
Zr (0.500, 0.500, 0.500)
B (0.000, 0.000, 0.000)

---

Short version: *1* is the least stable of them.

---

*1*
Below is PrCoB after structural relaxation, with properties calculated at the PBE level.

a = 4.395 Å, b = 4.395 Å, c = 4.395 Å
α = 60.00°, β = 60.00°, γ = 60.00°
Element x y z (fractional)
B (0.250, 0.250, 0.250)
Co (0.750, 0.750, 0.750)
Pr (0.000, 0.000, 0.000)

---

*2*
Below is PrCoB after structural relaxation, with properties calculated at the PBE level.

a = 4.222 Å, b = 4.222 Å, c = 4.222 Å
α = 60.00°, β = 60.00°, γ = 60.00°
Element x y z (fractional)
Co (0.250, 0.250, 0.250)
Pr (0.750, 0.750, 0.750)
B (0.000, 0.000, 0.000)

---

Short version: *1* is the least stable of them.

---

*1*
Below is CoB4Pt after structural relaxation, with properties calculated at the PBE level.

a = 4.478 Å, b = 4.478 Å, c = 4.478 Å
α = 140.47°, β = 108.63°, γ = 84.79°
Element x y z (fractional)
B (0.598, 0.264, 0.333)
B (0.402, 0.736, 0.667)
B (0.931, 0.264, 0.667)
B (0.069, 0.736, 0.333)
Pt (0.500, 0.500, 0.000)
Co (0.000, 0.000, 0.000)

---

*2*
Below is CoB4Pt after structural relaxation, with properties calculated at the PBE level.

a = 3.033 Å, b = 3.033 Å, c = 6.428 Å
α = 90.00°, β = 90.00°, γ = 120.00°
Element x y z (fractional)
B (0.333, 0.667, 0.284)
B (0.667, 0.333, 0.284)
B (0.333, 0.667, 0.716)
B (0.667, 0.333, 0.716)
Co (0.000, 0.000, 0.500)
Pt (0.000, 0.000, 0.000)

---

Short version: *1* is the least stable of them.

---

*1*
Below is TaCoBPt after structural relaxation, with properties calculated at the PBE level.

a = 4.223 Å, b = 4.223 Å, c = 4.223 Å
α = 60.00°, β = 60.00°, γ = 60.00°
Element x y z (fractional)
Pt (0.500, 0.500, 0.500)
Co (0.750, 0.750, 0.750)
Ta (0.250, 0.250, 0.250)
B (0.000, 0.000, 0.000)

---

*2*
Below is TaCoBPt after structural relaxation, with properties calculated at the PBE level.

a = 4.213 Å, b = 4.213 Å, c = 4.213 Å
α = 60.00°, β = 60.00°, γ = 60.00°
Element x y z (fractional)
Ta (0.500, 0.500, 0.500)
Pt (0.250, 0.250, 0.250)
B (0.000, 0.000, 0.000)
Co (0.750, 0.750, 0.750)

---

Short version: *2* is the least stable of them.

---

*1*
Below is CoBPtW after structural relaxation, with properties calculated at the PBE level.

a = 4.175 Å, b = 4.175 Å, c = 4.175 Å
α = 60.00°, β = 60.00°, γ = 60.00°
Element x y z (fractional)
B (0.000, 0.000, 0.000)
W (0.500, 0.500, 0.500)
Pt (0.250, 0.250, 0.250)
Co (0.750, 0.750, 0.750)

---

*2*
Below is CoBPtW after structural relaxation, with properties calculated at the PBE level.

a = 4.158 Å, b = 4.158 Å, c = 4.158 Å
α = 60.00°, β = 60.00°, γ = 60.00°
Element x y z (fractional)
Pt (0.500, 0.500, 0.500)
B (0.000, 0.000, 0.000)
Co (0.750, 0.750, 0.750)
W (0.250, 0.250, 0.250)

---

Short version: *1* is the least stable of them.